Entry 1:
# K2Ca2Al (PBE, relaxed)
data_K2Ca2Al
_cell_length_a 8.2491
_cell_length_b 8.2491
_cell_length_c 6.9434
_cell_angle_alpha 90.00
_cell_angle_beta 90.00
_cell_angle_gamma 90.00
_symmetry_space_group_name_H-M 'P 4/m b m'
_symmetry_Int_Tables_number 127
_symmetry_space_group_name_Hall '-P 4 2ab'
loop_
_atom_site_label
_atom_site_type_symbol
_atom_site_fract_x
_atom_site_fract_y
_atom_site_fract_z
K1 K 0.1815 0.3185 0.0000
Ca1 Ca 0.1659 0.6659 0.5000
Al1 Al 0.0000 0.0000 0.5000
# DFT formation energy   210 meV per atom
# Size of the total moment   0.0000 μB/atom
# Energy   -17.78 eV for the cell shown

Entry 2:
# KCaAl3 (PBE, relaxed)
data_KCaAl3
_cell_length_a 5.5808
_cell_length_b 5.5808
_cell_length_c 5.5808
_cell_angle_alpha 90.00
_cell_angle_beta 90.00
_cell_angle_gamma 90.00
_symmetry_space_group_name_H-M 'P m -3 m'
_symmetry_Int_Tables_number 221
_symmetry_space_group_name_Hall '-P 4 2 3'
loop_
_atom_site_label
_atom_site_type_symbol
_atom_site_fract_x
_atom_site_fract_y
_atom_site_fract_z
K1 K 0.0000 0.0000 0.0000
Ca1 Ca 0.5000 0.5000 0.5000
Al1 Al 0.0000 0.0000 0.5000
# DFT formation energy   1113 meV per atom
# Size of the total moment   0.0000 μB/atom
# Energy   -8.76 eV for the cell shown

Entry 3:
# KCa2Al2 (PBE, relaxed)
data_KCa2Al2
_cell_length_a 9.1753
_cell_length_b 9.1753
_cell_length_c 3.6749
_cell_angle_alpha 90.00
_cell_angle_beta 90.00
_cell_angle_gamma 90.00
_symmetry_space_group_name_H-M 'P 4/m b m'
_symmetry_Int_Tables_number 127
_symmetry_space_group_name_Hall '-P 4 2ab'
loop_
_atom_site_label
_atom_site_type_symbol
_atom_site_fract_x
_atom_site_fract_y
_atom_site_fract_z
K1 K 0.0000 0.0000 0.0000
Ca1 Ca 0.1818 0.3182 0.5000
Al1 Al 0.1065 0.6065 0.0000
# DFT formation energy   -9 meV per atom
# Size of the total moment   0.0000 μB/atom
# Energy   -25.26 eV for the cell shown

Entry 4:
# K3CaAl (PBE, relaxed)
data_K3CaAl
_cell_length_a 7.2808
_cell_length_b 7.2808
_cell_length_c 7.2808
_cell_angle_alpha 90.00
_cell_angle_beta 90.00
_cell_angle_gamma 90.00
_symmetry_space_group_name_H-M 'P m -3 m'
_symmetry_Int_Tables_number 221
_symmetry_space_group_name_Hall '-P 4 2 3'
loop_
_atom_site_label
_atom_site_type_symbol
_atom_site_fract_x
_atom_site_fract_y
_atom_site_fract_z
K1 K 0.0000 0.0000 0.5000
Ca1 Ca 0.0000 0.0000 0.0000
Al1 Al 0.5000 0.5000 0.5000
# DFT formation energy   858 meV per atom
# Size of the total moment   0.0045 μB/atom
# Energy   -4.75 eV for the cell shown

Entry 5:
# K3CaAl (PBE, relaxed)
data_K3CaAl
_cell_length_a 6.6745
_cell_length_b 6.6745
_cell_length_c 6.6745
_cell_angle_alpha 90.00
_cell_angle_beta 90.00
_cell_angle_gamma 90.00
_symmetry_space_group_name_H-M 'P m -3 m'
_symmetry_Int_Tables_number 221
_symmetry_space_group_name_Hall '-P 4 2 3'
loop_
_atom_site_label
_atom_site_type_symbol
_atom_site_fract_x
_atom_site_fract_y
_atom_site_fract_z
K1 K 0.0000 0.0000 0.5000
Ca1 Ca 0.5000 0.5000 0.5000
Al1 Al 0.0000 0.0000 0.0000
# DFT formation energy   461 meV per atom
# Size of the total moment   0.0000 μB/atom
# Energy   -6.73 eV for the cell shown

Entry 6:
# KCaAl3 (PBE, relaxed)
data_KCaAl3
_cell_length_a 5.8036
_cell_length_b 5.8036
_cell_length_c 5.8036
_cell_angle_alpha 90.00
_cell_angle_beta 90.00
_cell_angle_gamma 90.00
_symmetry_space_group_name_H-M 'P m -3 m'
_symmetry_Int_Tables_number 221
_symmetry_space_group_name_Hall '-P 4 2 3'
loop_
_atom_site_label
_atom_site_type_symbol
_atom_site_fract_x
_atom_site_fract_y
_atom_site_fract_z
K1 K 0.0000 0.0000 0.0000
Ca1 Ca 0.5000 0.5000 0.5000
Al1 Al 0.0000 0.5000 0.5000
# DFT formation energy   804 meV per atom
# Size of the total moment   0.0000 μB/atom
# Energy   -10.31 eV for the cell shown

Entry 7:
# KCaAl (PBE, relaxed)
data_KCaAl
_cell_length_a 3.9353
_cell_length_b 3.9353
_cell_length_c 14.7862
_cell_angle_alpha 90.00
_cell_angle_beta 90.00
_cell_angle_gamma 90.00
_symmetry_space_group_name_H-M 'I 4 m m'
_symmetry_Int_Tables_number 107
_symmetry_space_group_name_Hall 'I 4 -2'
loop_
_atom_site_label
_atom_site_type_symbol
_atom_site_fract_x
_atom_site_fract_y
_atom_site_fract_z
K1 K 0.0000 0.0000 0.0000
Ca1 Ca 0.0000 0.0000 0.7349
Al1 Al 0.0000 0.0000 0.3330
# DFT formation energy   131 meV per atom
# Size of the total moment   0.0000 μB/atom
# Energy   -12.90 eV for the cell shown

Entry 8:
# KCaAl (PBE, relaxed)
data_KCaAl
_cell_length_a 5.6818
_cell_length_b 5.6818
_cell_length_c 3.5478
_cell_angle_alpha 90.00
_cell_angle_beta 90.00
_cell_angle_gamma 120.00
_symmetry_space_group_name_H-M 'P 3 m 1'
_symmetry_Int_Tables_number 156
_symmetry_space_group_name_Hall 'P 3 -2"'
loop_
_atom_site_label
_atom_site_type_symbol
_atom_site_fract_x
_atom_site_fract_y
_atom_site_fract_z
K1 K 0.0000 0.0000 0.0000
Ca1 Ca 0.3333 0.6667 0.7080
Al1 Al 0.6667 0.3333 0.3596
# DFT formation energy   299 meV per atom
# Size of the total moment   0.0000 μB/atom
# Energy   -5.94 eV for the cell shown